Density functional theory data (PBE) for crystalline Ac12Mg2Sn5 at its relaxed geometry.

Cell: 18.4375 8.3053 10.4669 Å, 90.00 97.48 90.00°
Space group C2/m (No. 12)
Symmetry-distinct sites (fractional):
Ac1 0.0198 0.0000 0.3066 x4
Ac2 0.0215 0.5000 0.8220 x4
Ac3 0.1460 0.2537 0.5836 x8
Ac4 0.1751 0.2560 0.1180 x8
Mg1 0.0000 0.1671 0.0000 x4
Sn1 0.0000 0.5000 0.5000 x2
Sn2 0.1596 0.0000 0.8530 x4
Sn3 0.2072 0.0000 0.3710 x4

Computed properties:
Energy of formation in meV per atom: -231
VASP energy in eV per atom: -4.0466
Density of states at the Fermi level in states/eV per cell: 47.1

Density functional theory data (PBE) for crystalline Ac2MgSn3 at its relaxed geometry.

Cell: 4.5285 4.9822 8.4622 Å, 90.00 90.00 90.00°
Space group Pmm2 (No. 25)
Symmetry-distinct sites (fractional):
Ac1 0.0000 0.0000 0.0000 x1
Ac2 0.0000 0.5000 0.4813 x1
Mg1 0.5000 0.5000 0.8177 x1
Sn1 0.5000 0.0000 0.3291 x1
Sn2 0.5000 0.0000 0.6694 x1
Sn3 0.5000 0.5000 0.1487 x1

Computed properties:
Energy of formation in meV per atom: -527
VASP energy in eV per atom: -4.1632
Density of states at the Fermi level in states/eV per cell: 2.5

Density functional theory data (PBE) for crystalline AcMg2Sn at its relaxed geometry.

Cell: 4.8453 4.8453 17.6625 Å, 90.00 90.00 120.00°
Space group R-3m (No. 166, hexagonal axes)
Symmetry-distinct sites (fractional):
Ac1 0.0000 0.0000 0.0000 x3
Mg1 0.0000 0.0000 0.2164 x6
Sn1 0.0000 0.0000 0.5000 x3

Computed properties:
Energy relative to the lowest polymorph listed for this composition in eV per atom: 0.195
Energy of formation in meV per atom: -173
VASP energy in eV per atom: -2.9981
Density of states at the Fermi level in states/eV per cell: 11.1

Density functional theory data (PBE) for crystalline Ac2Mg5Sn4 at its relaxed geometry.

Cell: 6.5100 11.6506 16.6612 Å, 90.00 90.00 90.00°
Space group Fmmm (No. 69)
Symmetry-distinct sites (fractional):
Ac1 0.0000 0.0000 0.1442 x8
Mg1 0.0000 0.0000 0.5000 x4
Mg2 0.2500 0.2500 0.0000 x8
Mg3 0.2500 0.2500 0.2500 x8
Sn1 0.0000 0.1328 0.3599 x16

Computed properties:
Energy of formation in meV per atom: -289
VASP energy in eV per atom: -3.2163
Density of states at the Fermi level in states/eV per cell: 16.9

Density functional theory data (PBE) for crystalline Ac3MgSn2 at its relaxed geometry.

Cell: 8.8991 8.8991 20.8514 Å, 90.00 90.00 120.00°
Space group R-3c (No. 167, hexagonal axes)
Symmetry-distinct sites (fractional):
Ac1 0.0000 0.2933 0.2500 x18
Mg1 0.0000 0.0000 0.0000 x6
Sn1 0.0000 0.0000 0.1445 x12

Computed properties:
Energy of formation in meV per atom: -340
VASP energy in eV per atom: -3.9943
Density of states at the Fermi level in states/eV per cell: 39.4

Density functional theory data (PBE) for crystalline AcMg2Sn3 at its relaxed geometry.

Cell: 5.1142 5.1142 14.6920 Å, 90.00 90.00 120.00°
Space group P6_3/mmc (No. 194)
Symmetry-distinct sites (fractional):
Ac1 0.0000 0.0000 0.2500 x2
Mg1 0.3333 0.6667 0.0861 x4
Sn1 0.0000 0.0000 0.0000 x2
Sn2 0.3333 0.6667 0.6223 x4

Computed properties:
Energy of formation in meV per atom: -359
VASP energy in eV per atom: -3.5769
Density of states at the Fermi level in states/eV per cell: 6.6

What did the sixth record say?
Density functional theory data (PBE) for crystalline AcMg2Sn3 at its relaxed geometry.

Cell: 5.1142 5.1142 14.6920 Å, 90.00 90.00 120.00°
Space group P6_3/mmc (No. 194)
Symmetry-distinct sites (fractional):
Ac1 0.0000 0.0000 0.2500 x2
Mg1 0.3333 0.6667 0.0861 x4
Sn1 0.0000 0.0000 0.0000 x2
Sn2 0.3333 0.6667 0.6223 x4

Computed properties:
Energy of formation in meV per atom: -359
VASP energy in eV per atom: -3.5769
Density of states at the Fermi level in states/eV per cell: 6.6

Copy entry 5 word for word.
Density functional theory data (PBE) for crystalline Ac3MgSn2 at its relaxed geometry.

Cell: 8.8991 8.8991 20.8514 Å, 90.00 90.00 120.00°
Space group R-3c (No. 167, hexagonal axes)
Symmetry-distinct sites (fractional):
Ac1 0.0000 0.2933 0.2500 x18
Mg1 0.0000 0.0000 0.0000 x6
Sn1 0.0000 0.0000 0.1445 x12

Computed properties:
Energy of formation in meV per atom: -340
VASP energy in eV per atom: -3.9943
Density of states at the Fermi level in states/eV per cell: 39.4